1.
Density functional theory data (GGA-PBE) for a relaxed structure of K4Y3ScO8.

Unit cell a=6.8633 b=6.8633 c=18.7284 alpha=90.00 beta=90.00 gamma=120.00
With the nearest neighbours (Å) after each atom.
Space group R-3m (No. 166, hexagonal axes)
Asymmetric unit:
K  0.0000  0.0000  0.0000  6 O 2.85
K  0.0000  0.5000  0.0000  6 O 2.78
Y  0.0000  0.5000  0.5000  6 O 2.30-2.32
Sc  0.0000  0.0000  0.5000  6 O 2.22
O  0.0000  0.0000  0.2291  3 Y 2.30
O  0.0125  0.5063  0.2276  1 Sc 2.22, 2 Y 2.32

***

2.
Density functional theory data (GGA-PBE) for a relaxed structure of KScZnO3.

Unit cell a=6.3891 b=3.2448 c=9.4566 alpha=90.00 beta=108.34 gamma=90.00
With the nearest neighbours (Å) after each atom.
Space group P2_1/m (No. 11)
Asymmetric unit:
K  0.2012  0.2500  0.1996  7 O 2.83-2.96
Sc  0.1886  0.7500  0.6085  5 O 1.98-2.20
Zn  0.3847  0.2500  0.8889  4 O 1.96-2.18
O  0.0435  0.7500  0.3899  3 Sc 1.98-2.20
O  0.2781  0.7500  0.9602  3 Zn 1.96-2.18
O  0.4035  0.2500  0.6844  1 Zn 1.98, 2 Sc 2.10

***

What are the uncorrected formation energy values for these records? In order: -2.73; -2.22 eV/atom.
What are the calculated total energy values for these records? In order: -7.0932; -6.1498 eV per atom.